DFT (PBE-GGA) results for Pm4PrGe4 after structural relaxation.

Its volume is 522.4 Å³/cell. The value obtained for the formation enthalpy at 0 K is -566 meV/atom. The density of states at the Fermi level comes out at 21.0 states/eV per cell. The value obtained for the density is 6.43 g/cm³. The value obtained for the total energy is -5.261 eV per atom.

It has space group P4_2/n (No. 86, origin choice 2), with a = 9.327 Å, b = 9.327 Å, c = 6.006 Å, α = 90.00°, β = 90.00° and γ = 90.00°. The asymmetric unit holds Pm at (0.063, 0.663, 0.135), Pr at (0.250, 0.250, 0.250) and Ge at (0.026, 0.622, 0.628).

DFT (PBE-GGA) results for Pm3PrGe2 after structural relaxation.

Its volume is 683.0 Å³/cell. The value obtained for the formation enthalpy at 0 K is -569 meV/atom. The density of states at the Fermi level comes out at 23.9 states/eV per cell. The value obtained for the density is 7.01 g/cm³. The value obtained for the total energy is -5.280 eV per atom.

It has space group C2/m (No. 12), with a = 17.694 Å, b = 4.472 Å, c = 9.506 Å, α = 90.00°, β = 114.77° and γ = 90.00°. The asymmetric unit holds Pm at (0.048, 0.000, 0.196), Pm at (0.152, 0.500, 0.976), Pm at (0.191, 0.500, 0.385), Pr at (0.116, 0.000, 0.631), Ge at (0.008, 0.500, 0.367) and Ge at (0.238, 0.000, 0.213).